Record 1
The following is a GGA-PBE calculation of CeSc4Ru5 after structural relaxation, from Alexandria.

Results
The crystal system is tetragonal.

a = 3.2741 Å, b = 3.2741 Å, c = 16.1629 Å
α = 90.00°, β = 90.00°, γ = 90.00°
Element x y z (fractional)
Ce1 0.0000 0.0000 0.0000
Sc1 0.0000 0.0000 0.2093
Sc2 0.0000 0.0000 0.4028
Sc3 0.0000 0.0000 0.5972
Sc4 0.0000 0.0000 0.7907
Ru1 0.5000 0.5000 0.1018
Ru2 0.5000 0.5000 0.3020
Ru3 0.5000 0.5000 0.5000
Ru4 0.5000 0.5000 0.6980
Ru5 0.5000 0.5000 0.8982



Record 2
The following is a GGA-PBE calculation of Ce2ScRu after structural relaxation, from Alexandria.

Results
As for the energy above the most stable polymorph in this dataset: 0.129 eV per atom. The crystal system is tetragonal.

a = 3.6787 Å, b = 3.6787 Å, c = 6.9949 Å
α = 90.00°, β = 90.00°, γ = 90.00°
Element x y z (fractional)
Ce1 0.0000 0.0000 0.2031
Ce2 0.0000 0.0000 0.7969
Sc1 0.5000 0.5000 0.5000
Ru1 0.5000 0.5000 0.0000



Record 3
The following is a GGA-PBE calculation of Ce2Sc3Ru2 after structural relaxation, from Alexandria.

Results
The crystal system is monoclinic.

a = 5.8996 Å, b = 5.8996 Å, c = 8.4893 Å
α = 112.35°, β = 112.35°, γ = 36.34°
Element x y z (fractional)
Ce1 0.1612 0.1612 0.3025
Ce2 0.8388 0.8388 0.6975
Sc1 0.3799 0.3799 0.0785
Sc2 0.5000 0.5000 0.5000
Sc3 0.6201 0.6201 0.9215
Ru1 0.1873 0.1873 0.7344
Ru2 0.8127 0.8127 0.2656



Record 4
The following is a GGA-PBE calculation of CeScRu4 after structural relaxation, from Alexandria.

Results
The crystal system is cubic.

a = 5.2913 Å, b = 5.2913 Å, c = 5.2913 Å
α = 60.00°, β = 60.00°, γ = 60.00°
Element x y z (fractional)
Ce1 0.0000 0.0000 0.0000
Sc1 0.7500 0.7500 0.7500
Ru1 0.3754 0.3754 0.3754
Ru2 0.3754 0.3754 0.8738
Ru3 0.3754 0.8738 0.3754
Ru4 0.8738 0.3754 0.3754



Record 5
The following is a GGA-PBE calculation of CeSc2Ru3 after structural relaxation, from Alexandria.

Results
As for the energy above the most stable polymorph in this dataset: 0.030 eV per atom. The crystal system is tetragonal.

a = 3.3127 Å, b = 3.3127 Å, c = 9.7430 Å
α = 90.00°, β = 90.00°, γ = 90.00°
Element x y z (fractional)
Ce1 0.0000 0.0000 0.0000
Sc1 0.0000 0.0000 0.3422
Sc2 0.0000 0.0000 0.6578
Ru1 0.5000 0.5000 0.1679
Ru2 0.5000 0.5000 0.5000
Ru3 0.5000 0.5000 0.8321



Record 6
The following is a GGA-PBE calculation of CeSc2Ru4 after structural relaxation, from Alexandria.

Results
The crystal system is tetragonal.

a = 5.5208 Å, b = 5.5208 Å, c = 5.5208 Å
α = 108.54°, β = 108.54°, γ = 111.36°
Element x y z (fractional)
Ce1 0.0000 0.0000 0.0000
Sc1 0.0000 0.5000 0.5000
Sc2 0.5000 0.0000 0.5000
Ru1 0.0000 0.0000 0.5000
Ru2 0.0000 0.5000 0.0000
Ru3 0.5000 0.0000 0.0000
Ru4 0.5000 0.5000 0.5000



Record 7
The following is a GGA-PBE calculation of CeSc2Ru3 after structural relaxation, from Alexandria.

Results
As for the energy above the most stable polymorph in this dataset: 0.000 eV per atom. The crystal system is trigonal.

a = 4.6558 Å, b = 4.6558 Å, c = 5.6947 Å
α = 90.00°, β = 90.00°, γ = 120.00°
Element x y z (fractional)
Ce1 0.0000 0.0000 0.0000
Sc1 0.3333 0.6667 0.6530
Sc2 0.6667 0.3333 0.3470
Ru1 0.0000 0.0000 0.5000
Ru2 0.3333 0.6667 0.1652
Ru3 0.6667 0.3333 0.8348



Record 8
The following is a GGA-PBE calculation of Ce2ScRu3 after structural relaxation, from Alexandria.

Results
The crystal system is trigonal.

a = 4.6641 Å, b = 4.6641 Å, c = 12.2598 Å
α = 90.00°, β = 90.00°, γ = 120.00°
Element x y z (fractional)
Ce1 0.0000 0.0000 0.0000
Ce2 0.0000 0.0000 0.5000
Ce3 0.3333 0.6667 0.1754
Ce4 0.6667 0.3333 0.8246
Sc1 0.3333 0.6667 0.6583
Sc2 0.6667 0.3333 0.3417
Ru1 0.0000 0.0000 0.2627
Ru2 0.0000 0.0000 0.7373
Ru3 0.3333 0.6667 0.4209
Ru4 0.3333 0.6667 0.8877
Ru5 0.6667 0.3333 0.1123
Ru6 0.6667 0.3333 0.5791



Record 9
The following is a GGA-PBE calculation of Ce3ScRu4 after structural relaxation, from Alexandria.

Results
The crystal system is monoclinic.

a = 7.6663 Å, b = 7.6663 Å, c = 4.7621 Å
α = 107.86°, β = 107.86°, γ = 36.20°
Element x y z (fractional)
Ce1 0.0000 0.0000 0.0000
Ce2 0.2502 0.2502 0.2500
Ce3 0.7498 0.7498 0.7500
Sc1 0.5000 0.5000 0.5000
Ru1 0.1200 0.1200 0.6177
Ru2 0.3799 0.3799 0.8812
Ru3 0.6201 0.6201 0.1188
Ru4 0.8800 0.8800 0.3823



Record 10
The following is a GGA-PBE calculation of CeSc3Ru4 after structural relaxation, from Alexandria.

Results
The crystal system is trigonal.

a = 7.9801 Å, b = 7.9801 Å, c = 7.9801 Å
α = 33.69°, β = 33.69°, γ = 33.69°
Element x y z (fractional)
Ce1 0.0000 0.0000 0.0000
Sc1 0.2446 0.2446 0.2446
Sc2 0.5000 0.5000 0.5000
Sc3 0.7554 0.7554 0.7554
Ru1 0.1239 0.1239 0.1239
Ru2 0.3744 0.3744 0.3744
Ru3 0.6256 0.6256 0.6256
Ru4 0.8761 0.8761 0.8761



Record 11
The following is a GGA-PBE calculation of Ce3ScRu2 after structural relaxation, from Alexandria.

Results
The crystal system is orthorhombic.

a = 7.5885 Å, b = 7.5885 Å, c = 7.5885 Å
α = 146.66°, β = 143.43°, γ = 50.31°
Element x y z (fractional)
Ce1 0.0000 0.0000 0.0000
Ce2 0.3088 0.8088 0.5000
Ce3 0.6912 0.1912 0.5000
Sc1 0.5000 0.5000 0.0000
Ru1 0.1367 0.6367 0.5000
Ru2 0.8633 0.3633 0.5000



Record 12
The following is a GGA-PBE calculation of CeSc5Ru6 after structural relaxation, from Alexandria.

Results
The crystal system is monoclinic.

a = 4.5987 Å, b = 6.5025 Å, c = 7.2326 Å
α = 90.00°, β = 108.35°, γ = 90.00°
Element x y z (fractional)
Ce1 0.0000 0.0000 0.0000
Sc1 0.0000 0.5000 0.0000
Sc2 0.3278 0.0000 0.6556
Sc3 0.3322 0.5000 0.6642
Sc4 0.6678 0.5000 0.3358
Sc5 0.6722 0.0000 0.3444
Ru1 0.1648 0.2490 0.3301
Ru2 0.1648 0.7510 0.3301
Ru3 0.5000 0.2478 0.0000
Ru4 0.5000 0.7522 0.0000
Ru5 0.8352 0.2490 0.6699
Ru6 0.8352 0.7510 0.6699



Number 1: energy of formation from the pure elements -0.513 eV/atom. Number 2: energy of formation from the pure elements -0.079 eV/atom. Number 3: energy of formation from the pure elements -0.326 eV/atom. Number 4: energy of formation from the pure elements -0.278 eV/atom. Number 5: energy of formation from the pure elements -0.499 eV/atom. Number 6: energy of formation from the pure elements 0.022 eV/atom. Number 7: energy of formation from the pure elements -0.529 eV/atom. Number 8: energy of formation from the pure elements -0.411 eV/atom. Number 9: energy of formation from the pure elements -0.373 eV/atom. Number 10: energy of formation from the pure elements -0.563 eV/atom. Number 11: energy of formation from the pure elements -0.293 eV/atom. Number 12: energy of formation from the pure elements -0.560 eV/atom.